(1)
Crystalline Ca4BeP at its relaxed geometry. Source: the Alexandria database, functional PBE.

The energy relative to the elements is 0.7625 eV per atom.

The structure belongs to space group F-43m (No. 216); the cell edges are 9.0170, 9.0170 and 9.0170 Å and the angles 90.00°, 90.00° and 90.00°. The distinct sites, in fractional coordinates, are Ca at (0.1243, 0.1243, 0.1243), Be at (0.0000, 0.0000, 0.5000) and P at (0.2500, 0.2500, 0.7500).

=====

(2)
Crystalline CaBeP at its relaxed geometry. Source: the Alexandria database, functional PBE.

The energy relative to the elements is -0.7744 eV per atom. As for the distance to the lowest polymorph of the same formula: 0 meV per atom.

The structure belongs to space group P-6m2 (No. 187); the cell edges are 3.7336, 3.7336 and 4.2485 Å and the angles 90.00°, 90.00° and 120.00°. The distinct sites, in fractional coordinates, are Ca at (0.0000, 0.0000, 0.0000), Be at (0.6667, 0.3333, 0.5000) and P at (0.3333, 0.6667, 0.5000).

=====

(3)
Crystalline Ca3BeP3 at its relaxed geometry. Source: the Alexandria database, functional PBE.

The energy relative to the elements is -0.9394 eV per atom.

The structure belongs to space group Cmce (No. 64); the cell edges are 17.4529, 5.9313 and 11.6925 Å and the angles 90.00°, 90.00° and 90.00°. The distinct sites, in fractional coordinates, are Ca at (0.0000, 0.1920, 0.1461), Ca at (0.1728, 0.2024, 0.8695), Be at (0.0818, 0.0000, 0.5000), P at (0.0000, 0.2061, 0.3968) and P at (0.1589, 0.2033, 0.6161).

=====

(4)
Crystalline Ca3BeP2Pd9 at its relaxed geometry. Source: the Alexandria database, functional PBE.

The energy relative to the elements is -0.6364 eV per atom.

The structure belongs to space group P-3m1 (No. 164); the cell edges are 6.5516, 6.5516 and 7.4229 Å and the angles 90.00°, 90.00° and 120.00°. The distinct sites, in fractional coordinates, are Ca at (0.0000, 0.0000, 0.0000), Ca at (0.3333, 0.6667, 0.6539), Be at (0.0000, 0.0000, 0.5000), P at (0.3333, 0.6667, 0.1854), Pd at (0.0000, 0.5000, 0.0000) and Pd at (0.1533, 0.3065, 0.3254).

=====

(5)
Crystalline CaBePPd at its relaxed geometry. Source: the Alexandria database, functional PBE.

The energy relative to the elements is -0.6054 eV per atom.

The structure belongs to space group P4/nmm (No. 129, origin choice 2); the cell edges are 3.7343, 3.7343 and 10.1799 Å and the angles 90.00°, 90.00° and 90.00°. The distinct sites, in fractional coordinates, are Ca at (0.2500, 0.2500, 0.2269), Be at (0.2500, 0.7500, 0.5000), P at (0.2500, 0.2500, 0.6237) and Pd at (0.2500, 0.7500, 0.0000).

=====

(6)
Crystalline Ca2BePPd6 at its relaxed geometry. Source: the Alexandria database, functional PBE.

The energy relative to the elements is -0.6258 eV per atom.

The structure belongs to space group P-1 (No. 2); the cell edges are 6.1728, 6.1953 and 6.4988 Å and the angles 62.08°, 61.86° and 60.20°. The distinct sites, in fractional coordinates, are Ca at (0.2310, 0.2323, 0.3081), Be at (0.0000, 0.0000, 0.0000), P at (0.5000, 0.5000, 0.5000), Pd at (0.2424, 0.7029, 0.8079), Pd at (0.2452, 0.2431, 0.8020) and Pd at (0.2941, 0.7588, 0.1945).

=====

(7)
Crystalline CaPrBeP2 at its relaxed geometry. Source: the Alexandria database, functional PBE.

The energy relative to the elements is -0.7971 eV per atom.

The structure belongs to space group P2/c (No. 13); the cell edges are 6.8079, 4.5463 and 7.7346 Å and the angles 90.00°, 107.31° and 90.00°. The distinct sites, in fractional coordinates, are Ca at (0.0000, 0.0718, 0.2500), Pr at (0.5000, 0.2618, 0.7500), Be at (0.0000, 0.5000, 0.0000) and P at (0.2583, 0.2683, 0.0232).

=====

(8)
Crystalline CaBeP2S at its relaxed geometry. Source: the Alexandria database, functional PBE.

The value obtained for the formation energy without anion corrections is 1.304 eV per atom. As for the distance to the lowest polymorph of the same formula: 1504 meV per atom.

The structure belongs to space group P4/mmm (No. 123); the cell edges are 5.2332, 5.2332 and 5.0594 Å and the angles 90.00°, 90.00° and 90.00°. The distinct sites, in fractional coordinates, are Ca at (0.0000, 0.0000, 0.0000), Be at (0.5000, 0.5000, 0.5000), P at (0.0000, 0.5000, 0.0000) and S at (0.0000, 0.0000, 0.5000).

=====

(9)
Crystalline CaBeP2S at its relaxed geometry. Source: the Alexandria database, functional PBE.

The value obtained for the formation energy without anion corrections is -0.200 eV per atom. As for the distance to the lowest polymorph of the same formula: 0 meV per atom.

The structure belongs to space group P4/mmm (No. 123); the cell edges are 4.0985, 4.0985 and 5.7422 Å and the angles 90.00°, 90.00° and 90.00°. The distinct sites, in fractional coordinates, are Ca at (0.0000, 0.0000, 0.0000), Be at (0.5000, 0.5000, 0.5000), P at (0.0000, 0.5000, 0.5000) and S at (0.5000, 0.5000, 0.0000).

=====

(10)
Crystalline Ca2Be2P2S at its relaxed geometry. Source: the Alexandria database, functional PBE.

The value obtained for the formation energy without anion corrections is -0.999 eV per atom.

The structure belongs to space group P-1 (No. 2); the cell edges are 3.7427, 5.9803 and 6.4493 Å and the angles 65.77°, 76.14° and 79.09°. The distinct sites, in fractional coordinates, are Ca at (0.1110, 0.1879, 0.1553), Be at (0.3024, 0.3385, 0.5766), P at (0.2701, 0.6497, 0.2323) and S at (0.5000, 0.0000, 0.5000).

=====

(11)
Crystalline CaTaBe2P at its relaxed geometry. Source: the Alexandria database, functional PBE.

The energy relative to the elements is 1.8775 eV per atom.

The structure belongs to space group P4/mmm (No. 123); the cell edges are 4.3404, 4.3404 and 4.7006 Å and the angles 90.00°, 90.00° and 90.00°. The distinct sites, in fractional coordinates, are Ca at (0.0000, 0.0000, 0.0000), Ta at (0.5000, 0.5000, 0.5000), Be at (0.0000, 0.5000, 0.0000) and P at (0.0000, 0.0000, 0.5000).

=====

(12)
Crystalline Ca2TaBeP at its relaxed geometry. Source: the Alexandria database, functional PBE.

The energy relative to the elements is 0.4017 eV per atom.

The structure belongs to space group P4/mmm (No. 123); the cell edges are 5.2967, 5.2967 and 4.6999 Å and the angles 90.00°, 90.00° and 90.00°. The distinct sites, in fractional coordinates, are Ca at (0.0000, 0.5000, 0.0000), Ta at (0.0000, 0.0000, 0.5000), Be at (0.5000, 0.5000, 0.5000) and P at (0.0000, 0.0000, 0.0000).

=====

Record-wise VASP energy values, in eV for the cell shown: -50.269 -13.461 -260.293 -76.832 -37.504 -50.555 -50.626 -14.157 -21.677 -33.399 -17.329 -22.983